Dy2GaPt | PBE | optimized geometry

Cell and atoms, written as POSCAR:
```
Dy2GaPt
1.0
3.554 0.000 0.000
0.000 3.554 0.000
0.000 0.000 7.005
Dy Ga Pt
2 1 1
Direct
0.000 0.000 0.240 Dy
0.000 0.000 0.760 Dy
0.500 0.500 0.500 Ga
0.500 0.500 0.000 Pt
```

DOS(E_F): 0.513 states/eV/atom
ΔE_f: -0.91 eV/atom

Li2PmAg2Pb2 | PBE | optimized geometry

Cell and atoms, written as POSCAR:
```
Li2PmAg2Pb2
1.0
8.271 0.000 0.000
0.000 4.782 0.000
-2.961 0.000 8.010
Li Pm Ag Pb
4 2 4 4
Direct
0.145 0.000 0.421 Li
0.355 0.500 0.579 Li
0.645 0.500 0.421 Li
0.855 0.000 0.579 Li
0.000 0.000 0.000 Pm
0.500 0.500 0.000 Pm
0.056 0.500 0.683 Ag
0.444 0.000 0.317 Ag
0.556 0.000 0.683 Ag
0.944 0.500 0.317 Ag
0.242 0.500 0.216 Pb
0.258 0.000 0.784 Pb
0.742 0.000 0.216 Pb
0.758 0.500 0.784 Pb
```

DOS(E_F): 0.327 states/eV/atom
ΔE_f: -0.29 eV/atom

MgPdS | PBE | optimized geometry

Cell and atoms, written as POSCAR:
```
MgPdS
1.0
4.660 0.000 0.000
0.000 4.660 0.000
0.000 0.000 5.302
Mg Pd S
2 2 2
Direct
0.250 0.250 0.172 Mg
0.750 0.750 0.828 Mg
0.250 0.250 0.677 Pd
0.750 0.750 0.323 Pd
0.250 0.750 0.500 S
0.750 0.250 0.500 S
```

Formation energy (no corrections): -24.7 kJ/mol of atoms
DOS(E_F): 0.433 states/eV/atom

NaSr2Pr | PBE | optimized geometry

Cell and atoms, written as POSCAR:
```
NaSr2Pr
1.0
3.933 0.000 0.000
0.000 3.933 0.000
0.000 0.000 11.510
Na Sr Pr
1 2 1
Direct
0.000 0.000 0.000 Na
0.500 0.500 0.252 Sr
0.500 0.500 0.748 Sr
0.000 0.000 0.500 Pr
```

DOS(E_F): 1.231 states/eV/atom
ΔE_f: 0.09 eV/atom
Offset from the most stable computed form: 0 meV per atom

SrCdPI2 | PBE | optimized geometry

Cell and atoms, written as POSCAR:
```
SrCdPI2
1.0
6.332 0.000 0.000
0.000 6.332 0.000
0.000 0.000 7.342
Sr Cd P I
1 1 1 2
Direct
0.000 0.000 0.000 Sr
0.000 0.000 0.500 Cd
0.500 0.500 0.500 P
0.000 0.500 0.000 I
0.500 0.000 0.000 I
```

Formation energy (no corrections): -2.9 kJ/mol of atoms
DOS(E_F): 0.000 states/eV/atom

In4Tc | PBE | optimized geometry

Cell and atoms, written as POSCAR:
```
In4Tc
1.0
6.310 0.000 0.000
0.000 6.310 0.000
0.000 0.000 6.310
In Tc
8 2
Direct
0.250 0.250 0.250 In
0.250 0.250 0.750 In
0.250 0.750 0.250 In
0.250 0.750 0.750 In
0.750 0.250 0.250 In
0.750 0.250 0.750 In
0.750 0.750 0.250 In
0.750 0.750 0.750 In
0.000 0.000 0.000 Tc
0.500 0.500 0.500 Tc
```

DOS(E_F): 0.506 states/eV/atom
ΔE_f: 0.00 eV/atom
Offset from the most stable computed form: 0 meV per atom

DyHo2Tm | PBE | optimized geometry

Cell and atoms, written as POSCAR:
```
DyHo2Tm
1.0
5.560 0.000 0.000
0.000 7.192 0.000
0.000 0.000 6.216
Dy Ho Tm
2 4 2
Direct
0.250 0.250 0.166 Dy
0.750 0.750 0.834 Dy
0.250 0.000 0.667 Ho
0.250 0.500 0.667 Ho
0.750 0.000 0.333 Ho
0.750 0.500 0.333 Ho
0.250 0.750 0.167 Tm
0.750 0.250 0.833 Tm
```

DOS(E_F): 1.543 states/eV/atom
ΔE_f: 0.00 eV/atom
Offset from the most stable computed form: 0 meV per atom

TbDy2Er8 | PBE | optimized geometry

Cell and atoms, written as POSCAR:
```
TbDy2Er8
1.0
4.495 -8.195 0.000
4.495 8.195 0.000
-3.463 0.000 4.692
Tb Dy Er
1 2 8
Direct
0.000 0.000 0.000 Tb
0.310 0.690 0.500 Dy
0.690 0.310 0.500 Dy
0.098 0.346 0.698 Er
0.203 0.797 0.000 Er
0.346 0.098 0.698 Er
0.446 0.446 0.212 Er
0.554 0.554 0.788 Er
0.654 0.902 0.302 Er
0.797 0.203 0.000 Er
0.902 0.654 0.302 Er
```

DOS(E_F): 1.370 states/eV/atom
ΔE_f: 0.16 eV/atom
Offset from the most stable computed form: 45 meV per atom